First-principles (PBE) data for HoErMg4 after structural relaxation, as listed in the Alexandria database.

## Properties
Energy of formation: -0.040 eV/atom
N(E_F): 5.71 states/eV per cell
Excess energy over the best structure of this formula in the dataset: 20 meV per atom

Cell and atoms, written as POSCAR:
```
HoErMg4
1.0
6.860 -1.712 0.000
6.860 1.712 0.000
-1.662 0.000 6.554
Ho Er Mg
1 1 4
direct
0.000 0.000 0.000
0.000 0.000 0.500
0.325 0.325 0.163
0.326 0.326 0.662
0.674 0.674 0.338
0.675 0.675 0.837
```

=====

First-principles (PBE) data for Ho8ErMg2 after structural relaxation, as listed in the Alexandria database.

## Properties
Energy of formation: 0.150 eV/atom
N(E_F): 14.30 states/eV per cell
Excess energy over the best structure of this formula in the dataset: 131 meV per atom

Cell and atoms, written as POSCAR:
```
Ho8ErMg2
1.0
4.343 -7.692 0.000
4.343 7.692 0.000
-2.409 0.000 5.048
Ho Er Mg
8 1 2
direct
0.097 0.320 0.629
0.212 0.788 0.000
0.320 0.097 0.629
0.405 0.405 0.202
0.595 0.595 0.798
0.680 0.903 0.371
0.788 0.212 0.000
0.903 0.680 0.371
0.000 0.000 0.000
0.307 0.693 0.500
0.693 0.307 0.500
```

=====

First-principles (PBE) data for Ho3ErMg12 after structural relaxation, as listed in the Alexandria database.

## Properties
Energy of formation: -0.053 eV/atom
N(E_F): 12.12 states/eV per cell

Cell and atoms, written as POSCAR:
```
Ho3ErMg12
1.0
4.614 0.000 0.000
0.000 4.614 0.000
0.000 0.000 18.926
Ho Er Mg
3 1 12
direct
0.000 0.000 0.000
0.000 0.000 0.250
0.000 0.000 0.750
0.000 0.000 0.500
0.000 0.500 0.125
0.000 0.500 0.375
0.000 0.500 0.625
0.000 0.500 0.875
0.500 0.000 0.125
0.500 0.000 0.375
0.500 0.000 0.625
0.500 0.000 0.875
0.500 0.500 0.000
0.500 0.500 0.251
0.500 0.500 0.500
0.500 0.500 0.749
```

=====

First-principles (PBE) data for HoErMg6 after structural relaxation, as listed in the Alexandria database.

## Properties
Energy of formation: -0.063 eV/atom
N(E_F): 4.73 states/eV per cell

Cell and atoms, written as POSCAR:
```
HoErMg6
1.0
5.064 0.000 0.000
0.000 3.643 5.424
0.000 -3.643 5.424
Ho Er Mg
1 1 6
direct
0.000 0.000 0.000
0.500 0.741 0.741
0.000 0.053 0.487
0.000 0.487 0.053
0.000 0.539 0.539
0.500 0.202 0.202
0.500 0.254 0.688
0.500 0.688 0.254
```

=====

First-principles (PBE) data for Ho4ErMg after structural relaxation, as listed in the Alexandria database.

## Properties
Energy of formation: 0.027 eV/atom
N(E_F): 18.20 states/eV per cell
Excess energy over the best structure of this formula in the dataset: 38 meV per atom

Cell and atoms, written as POSCAR:
```
Ho4ErMg
1.0
5.226 -3.032 0.000
5.226 3.032 0.000
-3.486 0.000 11.212
Ho Er Mg
8 2 2
direct
0.165 0.671 0.000
0.252 0.415 0.250
0.329 0.835 0.500
0.415 0.252 0.750
0.585 0.748 0.250
0.671 0.165 0.500
0.748 0.585 0.750
0.835 0.329 0.000
0.000 0.500 0.500
0.500 0.000 0.000
0.083 0.917 0.750
0.917 0.083 0.250
```

=====

First-principles (PBE) data for Ho4Er5Mg2 after structural relaxation, as listed in the Alexandria database.

## Properties
Energy of formation: 0.245 eV/atom
N(E_F): 18.90 states/eV per cell
Excess energy over the best structure of this formula in the dataset: 112 meV per atom

Cell and atoms, written as POSCAR:
```
Ho4Er5Mg2
1.0
-1.697 4.382 11.379
1.697 -4.382 11.379
1.697 4.382 -11.379
Ho Er Mg
4 5 2
direct
0.181 0.500 0.681
0.232 0.232 0.000
0.768 0.768 0.000
0.819 0.500 0.319
0.164 0.360 0.803
0.443 0.640 0.803
0.500 0.000 0.500
0.557 0.360 0.197
0.836 0.640 0.197
0.098 0.098 0.000
0.902 0.902 0.000
```